Computed, not measured: a geometry-optimized ZnPd2Au structure at the PBE level of DFT.

Cell and atoms, written as extended XYZ:
```
8
Lattice="4.405 0.000 0.000 -2.202 3.815 0.000 0.000 0.000 7.853" Properties=species:S:1:pos:R:3 pbc="T T T"
Zn 0.000 2.543 1.963
Zn 2.202 1.272 5.890
Pd 0.000 2.543 4.524
Pd 0.000 2.543 7.256
Pd 2.202 1.272 0.597
Pd 2.202 1.272 3.329
Au 0.000 0.000 1.963
Au 0.000 0.000 5.890
```

## Properties
Energy of formation from the pure elements = -0.2101 eV/atom
SG = P6_3/mmc
Uncorrected energy = -3.9306 eV per atom
Density = 12.0 g/cm³

---

Computed, not measured: a geometry-optimized Zr3Zn3PdAu2 structure at the PBE level of DFT.

Cell and atoms, written as extended XYZ:
```
9
Lattice="7.421 0.000 0.000 -3.710 6.427 0.000 0.000 0.000 3.427" Properties=species:S:1:pos:R:3 pbc="T T T"
Zr -1.423 2.465 0.000
Zr 2.846 0.000 0.000
Zr 2.287 3.962 0.000
Zn -2.703 4.681 1.714
Zn 1.008 1.746 1.714
Zn 5.405 0.000 1.714
Pd 0.000 0.000 0.000
Au 0.000 4.284 1.714
Au 3.710 2.142 1.714
```

## Properties
Energy of formation from the pure elements = -0.4870 eV/atom
SG = P-62m
Uncorrected energy = -5.0586 eV per atom
M_tot = 0.37 μB per cell
Density = 9.9 g/cm³

---

Computed, not measured: a geometry-optimized Zr2Pd3Au structure at the PBE level of DFT.

Cell and atoms, written as extended XYZ:
```
6
Lattice="3.499 0.000 0.000 0.000 3.499 0.000 0.000 0.000 8.722" Properties=species:S:1:pos:R:3 pbc="T T T"
Zr 0.000 0.000 0.000
Zr 1.749 1.749 4.256
Pd 0.000 0.000 2.909
Pd 1.749 1.749 1.387
Pd 1.749 1.749 7.280
Au 0.000 0.000 5.777
```

## Properties
Energy of formation from the pure elements = -0.7649 eV/atom
SG = P4mm
Uncorrected energy = -6.7460 eV per atom
M_tot = 0.02 μB per cell
Density = 10.9 g/cm³

---

Computed, not measured: a geometry-optimized ZrPd2Au structure at the PBE level of DFT.

Cell and atoms, written as extended XYZ:
```
4
Lattice="0.000 3.269 3.269 3.269 0.000 3.269 3.269 3.269 0.000" Properties=species:S:1:pos:R:3 pbc="T T T"
Zr 0.000 0.000 0.000
Pd 3.269 3.269 3.269
Pd 4.903 4.903 4.903
Au 1.634 1.634 1.634
```

## Properties
Energy of formation from the pure elements = -0.5398 eV/atom
SG = F-43m
Uncorrected energy = -6.0809 eV per atom
M_tot = 0.00 μB per cell
Density = 11.9 g/cm³

---

Computed, not measured: a geometry-optimized ZrPdAu structure at the PBE level of DFT.

Cell and atoms, written as extended XYZ:
```
3
Lattice="0.000 3.200 3.200 3.200 0.000 3.200 3.200 3.200 0.000" Properties=species:S:1:pos:R:3 pbc="T T T"
Zr 0.000 0.000 0.000
Pd 1.600 1.600 1.600
Au 4.800 4.800 4.800
```

## Properties
Energy of formation from the pure elements = -0.2262 eV/atom
SG = F-43m
Uncorrected energy = -5.8892 eV per atom
M_tot = 0.00 μB per cell
Density = 10.0 g/cm³

---

Computed, not measured: a geometry-optimized ZrPdAu2 structure at the PBE level of DFT.

Cell and atoms, written as extended XYZ:
```
8
Lattice="4.863 0.000 0.000 0.000 5.813 0.000 0.000 0.000 5.077" Properties=species:S:1:pos:R:3 pbc="T T T"
Zr 1.216 1.453 0.752
Zr 3.647 4.360 4.325
Pd 1.216 4.360 0.778
Pd 3.647 1.453 4.299
Au 1.216 2.928 3.349
Au 1.216 5.792 3.349
Au 3.647 0.021 1.727
Au 3.647 2.886 1.727
```

## Properties
Energy of formation from the pure elements = -0.6223 eV/atom
SG = Pmmn
Uncorrected energy = -5.6862 eV per atom
M_tot = 0.00 μB per cell
Density = 13.7 g/cm³

---

Computed, not measured: a geometry-optimized ZrPdAu structure at the PBE level of DFT.

Cell and atoms, written as extended XYZ:
```
3
Lattice="0.000 3.162 3.162 3.162 0.000 3.162 3.162 3.162 0.000" Properties=species:S:1:pos:R:3 pbc="T T T"
Zr 0.000 0.000 0.000
Pd 4.743 4.743 4.743
Au 3.162 3.162 3.162
```

## Properties
Energy of formation from the pure elements = -0.3285 eV/atom
SG = F-43m
Uncorrected energy = -5.9915 eV per atom
M_tot = 0.04 μB per cell
Density = 10.4 g/cm³

---

Computed, not measured: a geometry-optimized ZrPdAu structure at the PBE level of DFT.

Cell and atoms, written as extended XYZ:
```
3
Lattice="-1.771 1.771 4.372 1.771 -1.771 4.372 1.771 1.771 -4.372" Properties=species:S:1:pos:R:3 pbc="T T T"
Zr 0.000 0.000 0.000
Pd 0.000 0.000 2.977
Au 0.000 0.000 5.845
```

## Properties
Energy of formation from the pure elements = -0.7459 eV/atom
SG = I4mm
Uncorrected energy = -6.4089 eV per atom
M_tot = 0.00 μB per cell
Density = 12.0 g/cm³

---

Computed, not measured: a geometry-optimized Zr2PdAu structure at the PBE level of DFT.

Cell and atoms, written as extended XYZ:
```
4
Lattice="0.000 3.341 3.341 3.341 0.000 3.341 3.341 3.341 0.000" Properties=species:S:1:pos:R:3 pbc="T T T"
Zr 0.000 0.000 0.000
Zr 1.671 1.671 1.671
Pd 3.341 3.341 3.341
Au 5.012 5.012 5.012
```

## Properties
Energy of formation from the pure elements = -0.3560 eV/atom
SG = F-43m
Uncorrected energy = -6.7400 eV per atom
M_tot = 1.00 μB per cell
Density = 10.8 g/cm³

---

Computed, not measured: a geometry-optimized PmAu structure at the PBE level of DFT.

Cell and atoms, written as extended XYZ:
```
2
Lattice="0.000 3.304 3.304 3.304 0.000 3.304 3.304 3.304 0.000" Properties=species:S:1:pos:R:3 pbc="T T T"
Pm 0.000 0.000 0.000
Au 1.652 1.652 1.652
```

## Properties
Energy of formation from the pure elements = -0.2314 eV/atom
SG = F-43m
Uncorrected energy = -4.2373 eV per atom
M_tot = 0.00 μB per cell
Density = 7.9 g/cm³

---

Computed, not measured: a geometry-optimized PmAu structure at the PBE level of DFT.

Cell and atoms, written as extended XYZ:
```
2
Lattice="3.605 0.000 0.000 -1.802 3.122 0.000 0.000 0.000 4.439" Properties=species:S:1:pos:R:3 pbc="T T T"
Pm 0.000 0.000 0.000
Au 0.000 2.081 2.220
```

## Properties
Energy of formation from the pure elements = -0.5508 eV/atom
SG = P-6m2
Uncorrected energy = -4.5567 eV per atom
M_tot = 0.01 μB per cell
Density = 11.4 g/cm³

---

Computed, not measured: a geometry-optimized Pm4PtAu3 structure at the PBE level of DFT.

Cell and atoms, written as extended XYZ:
```
8
Lattice="3.881 0.000 0.000 0.000 4.707 0.000 0.000 0.000 11.058" Properties=species:S:1:pos:R:3 pbc="T T T"
Pm 0.000 0.000 0.000
Pm 0.000 2.354 2.933
Pm 1.940 0.000 5.341
Pm 1.940 2.354 8.493
Pt 1.940 0.000 2.397
Au 0.000 0.000 7.921
Au 0.000 2.354 5.995
Au 1.940 2.354 0.476
```

## Properties
Energy of formation from the pure elements = -0.9191 eV/atom
SG = Pmm2
Uncorrected energy = -5.2737 eV per atom
M_tot = 0.02 μB per cell
Density = 11.2 g/cm³

---

What is the formula in the fifth record? ZrPdAu

---

Please write out number 4 again, unchanged.
Computed, not measured: a geometry-optimized ZrPd2Au structure at the PBE level of DFT.

Cell and atoms, written as extended XYZ:
```
4
Lattice="0.000 3.269 3.269 3.269 0.000 3.269 3.269 3.269 0.000" Properties=species:S:1:pos:R:3 pbc="T T T"
Zr 0.000 0.000 0.000
Pd 3.269 3.269 3.269
Pd 4.903 4.903 4.903
Au 1.634 1.634 1.634
```

## Properties
Energy of formation from the pure elements = -0.5398 eV/atom
SG = F-43m
Uncorrected energy = -6.0809 eV per atom
M_tot = 0.00 μB per cell
Density = 11.9 g/cm³

---

uncorrected energy of number 9 (Zr2PdAu)? -6.7400 eV per atom